Entry 1:
Density functional theory data (PBE) for a relaxed NdTm2Sc crystal.

Output
Size of the total moment   0.00 μB/atom
Symmetry   R3m, No. 160
Calculated volume   29.894 A^3/atom
Energy of formation from the pure elements   0.2 eV/f.u.

a b c (Å): 3.510 3.510 11.386
angles (deg): 81.13 81.13 60.00
Element x y z (fractional)
1 Tm 0.079 0.079 0.763
2 Nd 0.501 0.501 0.498
3 Sc 0.666 0.666 0.002
4 Tm 0.254 0.254 0.237

***

Entry 2:
Density functional theory data (PBE) for a relaxed Nd7Tm2Sc2 crystal.

Output
Size of the total moment   0.00 μB/atom
Symmetry   C2/m, No. 12
Calculated volume   32.694 A^3/atom
Energy of formation from the pure elements   1.6 eV/f.u.

a b c (Å): 6.101 7.958 7.958
angles (deg): 92.84 75.52 75.52
Element x y z (fractional)
1 Tm 0.583 0.787 0.787
2 Sc 0.500 0.221 0.779
3 Nd 0.000 0.000 0.000
4 Nd 0.795 0.423 0.423
5 Nd 0.192 0.581 0.056
6 Nd 0.205 0.577 0.577
7 Nd 0.808 0.419 0.944
8 Nd 0.808 0.944 0.419
9 Nd 0.192 0.056 0.581
10 Tm 0.417 0.213 0.213
11 Sc 0.500 0.779 0.221

***

Entry 3:
Density functional theory data (PBE) for a relaxed NdTmSc2 crystal.

Output
Size of the total moment   0.00 μB/atom
Symmetry   P4/mmm, No. 123
Calculated volume   28.320 A^3/atom
Energy of formation from the pure elements   0.2 eV/f.u.

a b c (Å): 4.681 4.919 4.919
angles (deg): 90.00 90.00 90.00
Element x y z (fractional)
1 Sc 0.000 0.500 0.000
2 Nd 0.500 0.500 0.500
3 Tm 0.500 0.000 0.000
4 Sc 0.000 0.000 0.500

***

Entry 4:
Density functional theory data (PBE) for a relaxed Nd5TmSc4 crystal.

Output
Size of the total moment   0.00 μB/atom
Symmetry   P4/mmm, No. 123
Calculated volume   30.083 A^3/atom
Energy of formation from the pure elements   0.5 eV/f.u.

a b c (Å): 3.595 3.595 23.281
angles (deg): 90.00 90.00 90.00
Element x y z (fractional)
1 Sc 0.000 0.000 0.205
2 Tm 0.000 0.000 0.000
3 Sc 0.000 0.000 0.795
4 Nd 0.500 0.500 0.304
5 Nd 0.500 0.500 0.107
6 Sc 0.000 0.000 0.598
7 Nd 0.500 0.500 0.500
8 Sc 0.000 0.000 0.402
9 Nd 0.500 0.500 0.893
10 Nd 0.500 0.500 0.696

***

Entry 5:
Density functional theory data (PBE) for a relaxed NdTm4Sc crystal.

Output
Size of the total moment   0.00 μB/atom
Symmetry   C2/m, No. 12
Calculated volume   31.069 A^3/atom
Energy of formation from the pure elements   1.2 eV/f.u.

a b c (Å): 5.838 5.838 11.176
angles (deg): 117.11 117.11 33.82
Element x y z (fractional)
1 Tm 0.347 0.347 0.164
2 Tm 0.653 0.653 0.836
3 Tm 0.156 0.156 0.350
4 Nd 0.000 0.000 0.000
5 Tm 0.844 0.844 0.650
6 Sc 0.500 0.500 0.500

***

Entry 6:
Density functional theory data (PBE) for a relaxed NdTm4Sc6 crystal.

Output
Size of the total moment   0.00 μB/atom
Symmetry   Cmmm, No. 65
Calculated volume   27.691 A^3/atom
Energy of formation from the pure elements   1.0 eV/f.u.

a b c (Å): 3.330 6.271 17.420
angles (deg): 97.42 90.00 122.08
Element x y z (fractional)
1 Tm 0.184 0.184 0.368
2 Sc 0.406 0.906 0.813
3 Sc 0.858 0.358 0.715
4 Tm 0.816 0.816 0.632
5 Sc 0.229 0.729 0.458
6 Tm 0.560 0.560 0.120
7 Sc 0.142 0.642 0.285
8 Nd 0.000 0.000 0.000
9 Sc 0.594 0.094 0.187
10 Tm 0.440 0.440 0.880
11 Sc 0.771 0.271 0.542

***

Entry 7:
Density functional theory data (PBE) for a relaxed Nd3Tm7Sc crystal.

Output
Size of the total moment   0.00 μB/atom
Symmetry   P3m1, No. 156
Calculated volume   32.628 A^3/atom
Energy of formation from the pure elements   2.0 eV/f.u.

a b c (Å): 8.549 6.962 6.962
angles (deg): 120.00 90.00 90.00
Element x y z (fractional)
1 Tm 0.445 0.335 0.168
2 Sc 0.443 0.333 0.667
3 Tm 0.125 0.168 0.832
4 Tm 0.125 0.664 0.832
5 Nd 0.781 0.499 0.501
6 Tm 0.122 0.667 0.333
7 Nd 0.781 0.002 0.501
8 Tm 0.445 0.832 0.665
9 Tm 0.445 0.832 0.168
10 Tm 0.125 0.168 0.336
11 Nd 0.781 0.499 0.998

***

Entry 8:
Density functional theory data (PBE) for a relaxed Nd2TmSc2 crystal.

Output
Size of the total moment   0.00 μB/atom
Symmetry   C2/c, No. 15
Calculated volume   32.091 A^3/atom
Energy of formation from the pure elements   1.7 eV/f.u.

a b c (Å): 8.695 8.695 5.775
angles (deg): 117.41 117.41 94.13
Element x y z (fractional)
1 Sc 0.807 0.193 0.250
2 Nd 0.402 0.230 0.004
3 Nd 0.598 0.770 0.996
4 Nd 0.770 0.598 0.496
5 Tm 0.933 0.067 0.750
6 Tm 0.067 0.933 0.250
7 Nd 0.230 0.402 0.504
8 Sc 0.193 0.807 0.750
9 Sc 0.671 0.329 0.750
10 Sc 0.329 0.671 0.250

***

Entry 9:
Density functional theory data (PBE) for a relaxed Nd4Tm2Sc crystal.

Output
Size of the total moment   0.00 μB/atom
Symmetry   Fdd2, No. 43
Calculated volume   32.355 A^3/atom
Energy of formation from the pure elements   0.5 eV/f.u.

a b c (Å): 12.408 12.408 6.725
angles (deg): 97.02 97.02 150.19
Element x y z (fractional)
1 Tm 0.307 0.624 0.953
2 Nd 0.151 0.041 0.103
3 Nd 0.563 0.600 0.147
4 Nd 0.166 0.704 0.353
5 Sc 0.670 0.420 0.000
6 Sc 0.420 0.670 0.500
7 Nd 0.600 0.563 0.647
8 Tm 0.922 0.104 0.048
9 Nd 0.799 0.189 0.397
10 Nd 0.704 0.166 0.853
11 Nd 0.189 0.799 0.897
12 Tm 0.104 0.922 0.548
13 Nd 0.041 0.151 0.603
14 Tm 0.624 0.307 0.453

***

Entry 10:
Density functional theory data (PBE) for a relaxed Nd2TmSc crystal.

Output
Size of the total moment   0.00 μB/atom
Symmetry   Pnma, No. 62
Calculated volume   31.463 A^3/atom
Energy of formation from the pure elements   0.2 eV/f.u.

a b c (Å): 5.638 12.353 7.228
angles (deg): 90.00 90.00 90.00
Element x y z (fractional)
1 Sc 0.443 0.832 0.750
2 Nd 0.943 0.413 0.999
3 Nd 0.443 0.587 0.001
4 Nd 0.943 0.913 0.998
5 Nd 0.943 0.913 0.501
6 Tm 0.943 0.171 0.750
7 Nd 0.443 0.087 0.002
8 Tm 0.943 0.671 0.750
9 Sc 0.943 0.668 0.250
10 Nd 0.443 0.587 0.498
11 Sc 0.943 0.168 0.250
12 Tm 0.443 0.329 0.250
13 Tm 0.443 0.829 0.250
14 Nd 0.443 0.087 0.499
15 Sc 0.443 0.332 0.750
16 Nd 0.943 0.413 0.502

***

Entry 11:
Density functional theory data (PBE) for a relaxed Nd4Tm5Sc crystal.

Output
Size of the total moment   0.00 μB/atom
Symmetry   I4mm, No. 107
Calculated volume   32.936 A^3/atom
Energy of formation from the pure elements   2.2 eV/f.u.

a b c (Å): 5.760 8.092 8.092
angles (deg): 82.72 69.15 69.15
Element x y z (fractional)
1 Nd 0.127 0.321 0.321
2 Tm 0.145 0.000 0.627
3 Nd 0.448 0.321 0.679
4 Tm 0.145 0.627 0.000
5 Tm 0.772 0.000 0.373
6 Nd 0.448 0.679 0.321
7 Nd 0.769 0.679 0.679
8 Tm 0.680 0.000 0.000
9 Tm 0.772 0.373 0.000
10 Sc 0.202 0.000 0.000

***

Entry 12:
Density functional theory data (PBE) for a relaxed NdTmSc2 crystal.

Output
Size of the total moment   0.00 μB/atom
Symmetry   Fm-3m, No. 225
Calculated volume   28.345 A^3/atom
Energy of formation from the pure elements   0.3 eV/f.u.

a b c (Å): 5.433 5.433 5.433
angles (deg): 60.00 60.00 60.00
Element x y z (fractional)
1 Sc 0.750 0.750 0.750
2 Nd 0.000 0.000 0.000
3 Sc 0.250 0.250 0.250
4 Tm 0.500 0.500 0.500

***

Q: What is the formula in the fifth record?
A: NdTm4Sc